A relaxed Tb3PmAg crystal, computed with PBE.

Results
The crystal system is monoclinic. The calculation puts the total energy at -4.24 eV per atom. Its symmetry is C2/m.

Cell and atoms, written as POSCAR:
```
Tb3PmAg
1.0
7.0910 -0.1109 -0.6410
-2.0468 6.7901 0.6410
-3.3291 -2.7301 6.8206
Pm Tb Ag
2 6 2
direct
0.3173 0.9179 0.2352
0.6827 0.0821 0.7648
0.2249 0.3825 0.1927
0.8102 0.9678 0.1927
0.7751 0.6175 0.8073
0.1898 0.0322 0.8073
0.7468 0.4450 0.1917
0.2532 0.5550 0.8083
0.3071 0.2460 0.5531
0.6929 0.7540 0.4469
```